## CeTe2As2Rh7 (PBE)

Data for crystalline CeTe2As2Rh7 at its relaxed geometry.

Calculated values
**Calculated volume**: 19.41 Å³/atom
**ΔE_f (raw)**: -0.40 eV/atom

Unit cell a=15.335 b=15.335 c=15.335 alpha=165.28 beta=165.28 gamma=20.88
Fractional coordinates of all 12 atoms:
Ce: 0.000 0.000 0.000
Te: 0.211 0.211 0.000
Te: 0.789 0.789 0.000
As: 0.380 0.380 0.000
As: 0.620 0.620 0.000
Rh: 0.071 0.571 0.500
Rh: 0.300 0.300 0.000
Rh: 0.429 0.929 0.500
Rh: 0.500 0.500 0.000
Rh: 0.571 0.071 0.500
Rh: 0.700 0.700 0.000
Rh: 0.929 0.429 0.500

## Ce2TeAsRh6 (PBE)

Data for crystalline Ce2TeAsRh6 at its relaxed geometry.

Calculated values
**Calculated volume**: 19.93 Å³/atom
**ΔE_f (raw)**: -0.58 eV/atom

Unit cell a=5.511 b=8.593 c=8.418 alpha=90.00 beta=90.00 gamma=90.00
Fractional coordinates of all 20 atoms:
Ce: 0.250 0.021 0.239
Ce: 0.250 0.479 0.239
Ce: 0.750 0.521 0.761
Ce: 0.750 0.979 0.761
Te: 0.250 0.250 0.771
Te: 0.750 0.750 0.229
As: 0.250 0.750 0.744
As: 0.750 0.250 0.256
Rh: 0.000 0.250 0.025
Rh: 0.000 0.750 0.975
Rh: 0.002 0.250 0.497
Rh: 0.250 0.501 0.596
Rh: 0.250 0.999 0.596
Rh: 0.498 0.250 0.497
Rh: 0.500 0.250 0.025
Rh: 0.500 0.750 0.975
Rh: 0.502 0.750 0.503
Rh: 0.750 0.001 0.404
Rh: 0.750 0.499 0.404
Rh: 0.998 0.750 0.503

## Ce2ThAs3Rh4 (PBE)

Data for crystalline Ce2ThAs3Rh4 at its relaxed geometry.

Calculated values
**Energy relative to the elements**: -910 meV per atom
**Calculated volume**: 20.19 Å³/atom

Unit cell a=4.224 b=4.224 c=11.316 alpha=90.00 beta=90.00 gamma=90.00
Fractional coordinates of all 10 atoms:
Ce: 0.000 0.500 0.216
Ce: 0.500 0.000 0.784
Th: 0.000 0.000 0.500
As: 0.000 0.500 0.873
As: 0.500 0.000 0.127
As: 0.500 0.500 0.500
Rh: 0.000 0.000 0.000
Rh: 0.000 0.500 0.658
Rh: 0.500 0.000 0.342
Rh: 0.500 0.500 0.000

no.,spin magnetization (μB per cell)
1,0.00
2,1.22
3,1.52